# GdErInAg

A relaxed GdErInAg crystal (PBE, Alexandria via LeMat-Bulk).

abc: 5.2486 5.2486 5.2486
angles: 60.00 60.00 60.00
Closest atoms and distances in Å follow each position.
Fractional coordinates of all 4 atoms:
Gd: 0.0000 0.0000 0.0000  4 In 3.21, 4 Ag 3.21
Er: 0.5000 0.5000 0.5000  4 Ag 3.21, 4 In 3.21
In: 0.2500 0.2500 0.2500  4 Er 3.21, 4 Gd 3.21
Ag: 0.7500 0.7500 0.7500  4 Er 3.21, 4 Gd 3.21

N(E_F), states/eV per cell: 4.2
Energy relative to the elements, eV/f.u.: -1.59
Space-group type: F-43m